GGA+U CrAsPbO6, optimized geometry; final energy = -6.33 eV/atom; magnetic moment = 1.01 Bohr magnetons per cell
1.0
5.0318 0.0000 0.0000
-2.5159 4.3577 0.0000
0.0000 0.0000 5.3388
Cr As Pb O
1 1 1 6
direct
0.0000 0.0000 0.0000
0.3333 0.6667 0.0000
0.6667 0.3333 0.5000
0.0620 0.3379 0.1995
0.0620 0.7241 0.8005
0.2759 0.3379 0.8005
0.2759 0.9380 0.1995
0.6621 0.7241 0.1995
0.6621 0.9380 0.8005